[1]
Material: La3Mg2Al
Method: DFT, GGA-PBE
State: relaxed

Output
* energy of formation: -0.197 eV per atom
* uncorrected energy: -3.82 eV/atom
* energy above the lowest structure with this stoichiometry: 0.3 kJ per mole of atoms
* magnetic moment: 0.00 μB/cell

The structure in POSCAR format:
```
La3Mg2Al
1.0
3.874 0.000 0.000
0.000 3.874 0.000
0.000 0.000 11.925
La Mg Al
3 2 1
direct
0.000 0.000 0.000
0.000 0.000 0.347
0.000 0.000 0.653
0.500 0.500 0.170
0.500 0.500 0.830
0.500 0.500 0.500
```



[2]
Material: LaMgAl
Method: DFT, GGA-PBE
State: relaxed

Output
* energy of formation: -0.052 eV per atom
* uncorrected energy: -3.47 eV/atom
* magnetic moment: 0.00 μB/cell

The structure in POSCAR format:
```
LaMgAl
1.0
5.341 -2.427 0.000
5.341 2.427 0.000
-1.997 0.000 6.742
La Mg Al
2 2 2
direct
0.000 0.000 0.000
0.698 0.698 0.523
0.346 0.346 0.265
0.694 0.694 0.007
0.259 0.259 0.842
0.444 0.444 0.678
```



[3]
Material: LaMg14Al
Method: DFT, GGA-PBE
State: relaxed

Output
* energy of formation: 0.025 eV per atom
* uncorrected energy: -1.91 eV/atom
* energy above the lowest structure with this stoichiometry: 3.0 kJ per mole of atoms
* magnetic moment: 0.00 μB/cell

The structure in POSCAR format:
```
LaMg14Al
1.0
6.558 0.000 0.000
-3.279 5.680 0.000
0.000 0.000 10.258
La Mg Al
1 14 1
direct
0.000 0.000 0.000
0.016 0.508 0.000
0.166 0.333 0.263
0.166 0.333 0.737
0.166 0.834 0.263
0.166 0.834 0.737
0.492 0.508 0.000
0.492 0.984 0.000
0.505 0.010 0.500
0.505 0.495 0.500
0.667 0.333 0.238
0.667 0.333 0.762
0.667 0.834 0.263
0.667 0.834 0.737
0.990 0.495 0.500
0.000 0.000 0.500
```



[4]
Material: LaMgAl
Method: DFT, GGA-PBE
State: relaxed

Output
* energy of formation: -0.268 eV per atom
* uncorrected energy: -3.69 eV/atom
* magnetic moment: 0.00 μB/cell

The structure in POSCAR format:
```
LaMgAl
1.0
5.274 0.000 0.000
-2.637 4.567 0.000
0.000 0.000 6.529
La Mg Al
2 2 2
direct
0.333 0.667 0.250
0.667 0.333 0.750
0.000 0.000 0.000
0.000 0.000 0.500
0.333 0.667 0.750
0.667 0.333 0.250
```



[5]
Material: LaMgAl
Method: DFT, GGA-PBE
State: relaxed

Output
* energy of formation: -0.154 eV per atom
* uncorrected energy: -3.58 eV/atom
* magnetic moment: 0.00 μB/cell

The structure in POSCAR format:
```
LaMgAl
1.0
5.391 0.000 0.000
0.000 4.809 0.000
-2.187 0.000 5.883
La Mg Al
2 2 2
direct
0.228 0.250 0.036
0.772 0.750 0.964
0.147 0.750 0.599
0.853 0.250 0.401
0.468 0.250 0.622
0.532 0.750 0.378
```



[6]
Material: La14MgAl
Method: DFT, GGA-PBE
State: relaxed

Output
* energy of formation: -0.035 eV per atom
* uncorrected energy: -4.68 eV/atom
* magnetic moment: 0.00 μB/cell

The structure in POSCAR format:
```
La14MgAl
1.0
7.250 0.000 0.000
0.000 7.250 0.000
0.000 0.000 10.443
La Mg Al
14 1 1
direct
0.000 0.000 0.000
0.000 0.500 0.000
0.000 0.500 0.500
0.244 0.244 0.259
0.244 0.244 0.741
0.244 0.756 0.259
0.244 0.756 0.741
0.500 0.000 0.000
0.500 0.000 0.500
0.500 0.500 0.000
0.756 0.244 0.259
0.756 0.244 0.741
0.756 0.756 0.259
0.756 0.756 0.741
0.500 0.500 0.500
0.000 0.000 0.500
```



[7]
Material: LaMg2Al10
Method: DFT, GGA-PBE
State: relaxed

Output
* energy of formation: -0.080 eV per atom
* uncorrected energy: -3.58 eV/atom
* magnetic moment: 0.00 μB/cell

The structure in POSCAR format:
```
LaMg2Al10
1.0
0.000 6.600 6.757
2.794 0.000 6.757
2.794 6.600 0.000
La Mg Al
1 2 10
direct
0.000 0.000 0.000
0.000 0.500 0.000
0.500 0.000 0.500
0.000 0.000 0.500
0.008 0.643 0.357
0.282 0.506 0.494
0.357 0.992 0.008
0.494 0.718 0.282
0.500 0.500 0.000
0.506 0.282 0.718
0.643 0.008 0.992
0.718 0.494 0.506
0.992 0.357 0.643
```



[8]
Material: LaMgAl
Method: DFT, GGA-PBE
State: relaxed

Output
* energy of formation: -0.134 eV per atom
* uncorrected energy: -3.56 eV/atom
* magnetic moment: 0.00 μB/cell

The structure in POSCAR format:
```
LaMgAl
1.0
4.739 0.000 0.000
0.000 4.739 0.000
0.000 0.000 7.497
La Mg Al
2 2 2
direct
0.250 0.250 0.204
0.750 0.750 0.796
0.250 0.250 0.721
0.750 0.750 0.279
0.250 0.750 0.500
0.750 0.250 0.500
```